NbSiAs (SCAN, single point on PBEsol structure); N(E_F) = 0.57 states/eV/f.u.; total moment = 0.00 μB/cell; mass density = 6.803 g/cm3; uncorrected energy = -130.402 eV per cell
1.0
-0.538 -0.914 -3.315
3.404 -0.620 -0.382
-1.111 -7.486 2.245
As Si Nb
2 2 2
Cartesian
1.270 -3.222 0.682
-0.948 -5.031 -0.286
1.433 -0.767 -1.849
0.000 0.000 0.000
0.873 -5.893 1.483
-0.552 -2.360 -1.087

=====

Nb3SnAs (SCAN, single point on PBEsol structure); energy of formation = 0.48 eV per atom; N(E_F) = 6.08 states/eV/f.u.; total moment = 0.00 μB/cell; mass density = 7.419 g/cm3; uncorrected energy = -153.122 eV per cell
1.0
-2.157 0.270 -4.199
-4.207 -0.243 2.145
-0.093 4.715 0.351
Nb As Sn
3 1 1
Cartesian
-1.078 0.135 -2.100
-2.104 -0.121 1.072
-0.047 2.357 0.175
0.000 0.000 0.000
-3.228 2.371 -0.852

=====

Sr3NbAs (SCAN, single point on PBEsol structure); energy of formation = 0.88 eV per atom; N(E_F) = 5.97 states/eV/f.u.; total moment = 0.00 μB/cell; mass density = 4.252 g/cm3; uncorrected energy = -115.734 eV per cell
1.0
5.520 0.000 0.000
0.000 5.520 0.000
0.000 0.000 5.520
Sr Nb As
3 1 1
Cartesian
0.000 0.000 2.760
0.000 2.760 0.000
2.760 0.000 0.000
0.000 0.000 0.000
2.760 2.760 2.760

=====

SrNb2As2 (SCAN, single point on PBEsol structure); energy of formation = -0.83 eV per atom; N(E_F) = 2.02 states/eV/f.u.; total moment = 0.00 μB/cell; mass density = 6.540 g/cm3; uncorrected energy = -133.068 eV per cell
1.0
-2.018 3.429 -0.423
0.399 -0.256 -3.973
-4.947 -5.019 1.841
Sr As Nb
1 2 2
Cartesian
0.000 0.000 0.000
-2.195 0.761 -2.284
-4.372 -2.607 -0.271
-2.679 -1.844 -2.165
-3.888 -0.002 -0.390

=====

Sr2NbAs (SCAN, single point on PBEsol structure); energy of formation = 0.00 eV per atom; N(E_F) = 2.54 states/eV/f.u.; total moment = 6.34 μB/cell; mass density = 3.676 g/cm3; uncorrected energy = -195.740 eV per cell
1.0
4.974 0.000 0.000
2.487 7.893 0.000
2.487 0.000 7.893
As Nb Sr
2 2 4
Cartesian
2.487 0.000 0.000
3.731 3.947 3.947
6.218 3.947 3.947
0.000 0.000 0.000
4.353 2.721 6.668
4.353 5.172 1.225
3.109 1.225 2.721
8.084 6.668 5.172

=====

NbTcAs3 (SCAN, single point on PBEsol structure); energy of formation = 0.78 eV per atom; N(E_F) = 2.71 states/eV/f.u.; total moment = 3.99 μB/cell; mass density = 6.557 g/cm3; uncorrected energy = -124.839 eV per cell
1.0
-0.745 -3.661 -2.888
3.280 1.667 -2.959
3.313 -2.473 2.280
Nb As Tc
1 3 1
Cartesian
2.925 -2.234 -1.783
-0.372 -1.830 -1.444
1.657 -1.237 1.140
1.640 0.833 -1.480
0.000 0.000 0.000

=====

Nb3Te3As (SCAN, single point on PBEsol structure); N(E_F) = 2.03 states/eV/f.u.; total moment = 0.00 μB/cell; mass density = 7.433 g/cm3; uncorrected energy = -471.002 eV per cell
1.0
-0.244 -1.236 3.295
-6.397 -7.485 -3.283
10.249 -1.629 0.148
Nb Te As
6 6 2
Cartesian
-1.902 -8.086 -0.343
0.924 -6.392 0.502
5.510 -2.264 0.503
5.724 -5.448 -0.676
2.684 -3.958 -0.342
-2.116 -4.902 0.836
3.079 -6.508 -1.270
-4.263 -6.441 0.099
7.871 -3.908 0.061
0.640 -9.097 -0.534
2.968 -1.252 0.694
0.529 -3.841 1.430
-0.909 -5.842 -1.316
4.517 -4.508 1.476

=====

NbTeAs3 (SCAN, single point on PBEsol structure); N(E_F) = 3.30 states/eV/f.u.; total moment = 2.16 μB/cell; mass density = 5.613 g/cm3; uncorrected energy = -124.141 eV per cell
1.0
5.088 0.000 0.000
0.000 5.088 0.000
0.000 0.000 5.088
Te As Nb
1 3 1
Cartesian
0.000 0.000 0.000
2.544 0.000 0.000
0.000 0.000 2.544
0.000 2.544 0.000
2.544 2.544 2.544

=====

Nb12TlTe15As (SCAN, single point on PBEsol structure); N(E_F) = 11.54 states/eV/f.u.; total moment = 0.00 μB/cell; mass density = 7.887 g/cm3; uncorrected energy = -1063.643 eV per cell
1.0
-0.350 -6.615 2.861
-0.066 -4.188 -9.690
9.165 1.664 4.969
Te Nb As Tl
15 12 1 1
Cartesian
2.725 -5.538 1.233
2.922 -3.910 -4.081
2.903 -2.191 -0.215
2.749 -7.181 -2.666
5.912 -3.595 1.513
8.263 -6.239 0.290
0.565 -1.312 -2.964
0.303 -4.644 -1.599
6.483 -4.027 5.187
2.454 -3.463 -7.705
2.384 -6.791 -6.309
6.661 -0.680 3.740
8.440 -2.892 -1.158
5.820 -5.201 -2.212
6.012 -1.938 -3.744
5.310 -6.144 0.405
0.935 -2.416 -5.471
4.639 -2.889 -6.111
3.457 -1.407 -2.830
7.828 -5.223 2.842
0.731 -5.742 -4.087
8.015 -1.690 1.314
5.497 -2.611 -1.123
4.522 -6.199 -4.679
4.318 -4.716 3.584
3.253 -4.694 -1.354
4.506 -1.183 2.056
6.088 -0.287 0.082
0.000 0.000 0.000

=====

NbZnTeAs2 (SCAN, single point on PBEsol structure); N(E_F) = 3.90 states/eV/f.u.; total moment = 0.00 μB/cell; mass density = 5.511 g/cm3; uncorrected energy = -122.254 eV per cell
1.0
4.903 0.000 0.000
0.000 4.903 0.000
0.000 0.000 5.461
As Te Zn Nb
2 1 1 1
Cartesian
2.452 0.000 0.000
0.000 2.452 0.000
0.000 0.000 2.731
2.452 2.452 2.731
0.000 0.000 0.000

=====

TiNb3As (SCAN, single point on PBEsol structure); energy of formation = 1.15 eV per atom; N(E_F) = 4.64 states/eV/f.u.; total moment = 0.00 μB/cell; mass density = 6.706 g/cm3; uncorrected energy = -129.849 eV per cell
1.0
4.633 0.000 0.000
0.000 4.633 0.000
0.000 0.000 4.633
As Nb Ti
1 3 1
Cartesian
2.316 2.316 2.316
0.000 0.000 2.316
2.316 0.000 0.000
0.000 2.316 0.000
0.000 0.000 0.000

=====

Nb3TlAs (SCAN, single point on PBEsol structure); energy of formation = 0.61 eV per atom; N(E_F) = 8.96 states/eV/f.u.; total moment = 0.01 μB/cell; mass density = 8.669 g/cm3; uncorrected energy = -188.873 eV per cell
1.0
-1.426 -0.197 -4.522
4.136 -1.984 -1.217
-1.840 -4.307 0.768
Tl As Nb
1 1 3
Cartesian
0.435 -3.244 -2.486
0.000 0.000 0.000
2.068 -0.992 -0.609
-0.713 -0.099 -2.261
-0.920 -2.153 0.384